DFT (GGA-PBE) results for a relaxed Sc4Hg crystal.

Lattice parameters (Å, degrees): 4.6189 5.5130 5.5130 100.11 114.77 65.23
Element x y z (fractional)
1 Sc 0.6127 0.5773 0.8027
2 Sc 0.3873 0.4227 0.1973
3 Sc 0.1900 0.1973 0.5773
4 Sc 0.8100 0.8027 0.4227
5 Hg 0.0000 0.0000 0.0000

Output
- SG: I4/m (87)
- Fermi-level density of states: 7.28 states/eV per cell
- Distance to the lowest polymorph of the same formula: 0.0 meV per atom
- Energy of formation: -0.11 eV per atom

DFT (GGA-PBE) results for a relaxed Ac2PaSb3 crystal.

Lattice parameters (Å, degrees): 8.0514 8.0518 14.6597 100.56 100.56 109.43
Element x y z (fractional)
1 Pa 0.0837 0.0837 0.1674
2 Pa 0.3337 0.8337 0.6673
3 Pa 0.9163 0.9163 0.8327
4 Pa 0.1663 0.6663 0.3326
5 Sb 0.3155 0.8357 0.1742
6 Sb 0.0224 0.5224 0.5000
7 Sb 0.4775 0.9775 0.5000
8 Sb 0.7725 0.7725 0.0000
9 Sb 0.6615 0.1414 0.8258
10 Sb 0.0858 0.0656 0.6742
11 Sb 0.5885 0.6086 0.6742
12 Sb 0.1642 0.6844 0.8258
13 Sb 0.9345 0.9143 0.3258
14 Sb 0.2276 0.2276 0.0000
15 Sb 0.8586 0.3384 0.1742
16 Sb 0.3914 0.4116 0.3258
17 Ac 0.5030 0.0030 0.0060
18 Ac 0.4190 0.4190 0.8380
19 Ac 0.2530 0.2530 0.5061
20 Ac 0.5810 0.5810 0.1620
21 Ac 0.7470 0.7470 0.4940
22 Ac 0.8310 0.3310 0.6620
23 Ac 0.6690 0.1690 0.3380
24 Ac 0.9970 0.4970 0.9939

Output
- SG: Fddd (70)
- Fermi-level density of states: 26.64 states/eV per cell
- Formation energy (no corrections): -5.5 eV/f.u.

DFT (GGA-PBE) results for a relaxed TiGaSi2Os crystal.

Lattice parameters (Å, degrees): 4.4194 4.6294 4.4194 90.00 90.00 90.00
Element x y z (fractional)
1 Ti 0.0000 0.5000 0.0000
2 Os 0.5000 0.5000 0.5000
3 Ga 0.0000 0.0000 0.0000
4 Si 0.5000 0.0000 0.0000
5 Si 0.0000 0.0000 0.5000

Output
- SG: P4/mmm (123)
- Fermi-level density of states: 4.47 states/eV per cell
- Formation energy (no corrections): 6.9 eV/f.u.

DFT (GGA-PBE) results for a relaxed BeSiSb2 crystal.

Lattice parameters (Å, degrees): 3.0772 3.0772 8.9582 90.00 90.00 104.37
Element x y z (fractional)
1 Be 0.5000 0.5000 0.7151
2 Sb 0.5000 0.5000 0.2915
3 Sb 0.0000 0.0000 0.9306
4 Si 0.0000 0.0000 0.5629

Output
- SG: Cmm2 (35)
- Fermi-level density of states: 1.46 states/eV per cell
- Formation energy (no corrections): 1.9 eV/f.u.

DFT (GGA-PBE) results for a relaxed Pm2FeNi3 crystal.

Lattice parameters (Å, degrees): 4.1904 5.1772 6.1606 114.85 109.88 90.00
Element x y z (fractional)
1 Ni 0.6142 0.6142 0.2284
2 Ni 0.3858 0.3858 0.7716
3 Ni 0.0000 0.0000 0.0000
4 Fe 0.0000 0.5000 0.0000
5 Pm 0.3170 0.8170 0.6339
6 Pm 0.6830 0.1830 0.3661

Output
- SG: Immm (71)
- Fermi-level density of states: 5.80 states/eV per cell
- Energy of formation: 0.03 eV per atom

DFT (GGA-PBE) results for a relaxed Pm12CoPd6 crystal.

Lattice parameters (Å, degrees): 8.3406 8.3406 8.3406 98.01 98.01 98.01
Element x y z (fractional)
1 Pm 0.1829 0.4184 0.5794
2 Pm 0.4206 0.8171 0.5816
3 Pm 0.4184 0.5794 0.1829
4 Pm 0.5794 0.1829 0.4184
5 Pm 0.3149 0.0713 0.9652
6 Pm 0.0713 0.9652 0.3149
7 Pm 0.0348 0.6851 0.9287
8 Pm 0.6851 0.9287 0.0348
9 Pm 0.9652 0.3149 0.0713
10 Pm 0.8171 0.5816 0.4206
11 Pm 0.9287 0.0348 0.6851
12 Pm 0.5816 0.4206 0.8171
13 Pd 0.3776 0.6909 0.8713
14 Pd 0.1287 0.6224 0.3091
15 Pd 0.3091 0.1287 0.6224
16 Pd 0.8713 0.3776 0.6909
17 Pd 0.6224 0.3091 0.1287
18 Pd 0.6909 0.8713 0.3776
19 Co 0.0000 0.0000 0.0000

Output
- SG: R-3 (148)
- Fermi-level density of states: 20.08 states/eV per cell
- Energy of formation: -0.43 eV per atom

| no. | total magnetic moment (Bohr magnetons per cell) | E (eV per atom) |
| --- | --- | --- |
| 1 | 1.470 | -5.239 |
| 2 | 3.828 | -5.936 |
| 3 | 0.000 | -5.216 |
| 4 | 0.000 | -3.876 |
| 5 | 3.077 | -5.856 |
| 6 | 0.000 | -5.445 |